Density functional theory data (GGA-PBE) for a geometry-optimized Pr2PuO5 structure.

## Properties
Energy relative to the elements, uncorrected (eV/atom): -3.1994
SG: No. 55

a b c (Å): 3.510 6.433 10.113
angles (deg): 90.00 90.00 90.00
Site moments in Bohr magnetons follow the coordinates.
Positions (direct):
O1 0.000 0.829 0.197  -0.04
O2 0.000 0.671 0.697  -0.04
O3 0.000 0.000 0.500  0.00
O4 0.500 0.658 0.408  -0.09
O5 0.000 0.329 0.303  -0.04
O6 0.500 0.842 0.908  -0.09
O7 0.500 0.158 0.092  -0.09
O8 0.500 0.342 0.592  -0.09
O9 0.000 0.500 0.000  0.00
O10 0.000 0.171 0.803  -0.04
Pr1 0.500 0.973 0.670  0.01
Pr2 0.500 0.527 0.170  0.01
Pr3 0.500 0.027 0.330  0.01
Pr4 0.500 0.473 0.830  0.01
Pu1 0.000 0.000 0.000  4.20
Pu2 0.000 0.500 0.500  4.20

***

Density functional theory data (GGA-PBE) for a geometry-optimized Ac2In12Pd7 structure.

## Properties
SG: No. 174

a b c (Å): 4.369 11.145 11.145
angles (deg): 120.00 90.00 90.00
Positions (direct):
Pd1 0.000 0.333 0.667
Pd2 0.000 0.722 0.931
Pd3 0.500 0.447 0.086
Pd4 0.000 0.069 0.790
Pd5 0.000 0.210 0.278
Pd6 0.500 0.639 0.553
Pd7 0.500 0.914 0.361
In1 0.000 0.048 0.531
In2 0.000 0.787 0.724
In3 0.000 0.937 0.213
In4 0.500 0.911 0.617
In5 0.000 0.469 0.517
In6 0.500 0.383 0.294
In7 0.500 0.244 0.795
In8 0.500 0.205 0.449
In9 0.000 0.483 0.952
In10 0.000 0.276 0.063
In11 0.500 0.551 0.756
In12 0.500 0.706 0.089
Ac1 0.500 0.000 0.000
Ac2 0.000 0.667 0.333

***

Density functional theory data (GGA-PBE) for a geometry-optimized SrSc2Fe structure.

## Properties
Distance to the lowest polymorph of the same formula (eV/f.u.): 1.91
SG: No. 225

a b c (Å): 4.970 4.970 4.970
angles (deg): 60.00 60.00 60.00
Positions (direct):
Sr1 0.500 0.500 0.500
Fe1 0.000 0.000 0.000
Sc1 0.750 0.750 0.750
Sc2 0.250 0.250 0.250

***

Density functional theory data (GGA-PBE) for a geometry-optimized W2Se17Cl12 structure.

## Properties
Energy relative to the elements, uncorrected (eV/atom): -0.3658
SG: No. 2

a b c (Å): 11.444 14.606 14.406
angles (deg): 111.49 98.68 101.63
Site moments in Bohr magnetons follow the coordinates.
Positions (direct):
Cl1 0.059 0.314 0.883  0.00
Cl2 0.860 0.385 0.486  0.01
Cl3 0.717 0.798 0.098  0.01
Cl4 0.340 0.452 0.025  0.01
Cl5 0.941 0.686 0.117  0.00
Cl6 0.052 0.167 0.013  0.01
Cl7 0.567 0.286 0.361  0.01
Cl8 0.433 0.714 0.639  0.01
Cl9 0.752 0.137 0.329  0.01
Cl10 0.542 0.111 0.460  0.01
Cl11 0.163 0.787 0.417  0.01
Cl12 0.355 0.641 0.386  0.01
Cl13 0.645 0.359 0.614  0.01
Cl14 0.894 0.579 0.864  0.01
Cl15 0.283 0.202 0.902  0.01
Cl16 0.458 0.889 0.540  0.01
Cl17 0.948 0.833 0.987  0.01
Cl18 0.671 0.691 0.843  0.00
Cl19 0.106 0.421 0.136  0.01
Cl20 0.140 0.615 0.514  0.01
Cl21 0.660 0.548 0.975  0.01
Cl22 0.837 0.213 0.583  0.01
Cl23 0.248 0.863 0.671  0.01
Cl24 0.329 0.309 0.157  0.00
W1 0.808 0.689 0.980  0.73
W2 0.192 0.311 0.020  0.73
W3 0.700 0.247 0.472  0.73
W4 0.300 0.753 0.528  0.73
Se1 0.146 0.409 0.675  0.00
Se2 0.406 0.689 0.992  0.01
Se3 0.822 0.412 0.259  0.00
Se4 0.178 0.588 0.741  0.00
Se5 0.655 0.618 0.324  0.01
Se6 0.187 0.640 0.918  0.01
Se7 0.246 0.197 0.646  0.00
Se8 0.360 0.700 0.163  0.00
Se9 0.035 0.113 0.391  0.00
Se10 0.591 0.129 0.737  0.00
Se11 0.776 0.084 0.783  0.00
Se12 0.345 0.382 0.676  0.01
Se13 0.806 0.625 0.581  0.00
Se14 0.301 0.029 0.146  0.00
Se15 0.754 0.803 0.354  0.00
Se16 0.854 0.591 0.325  0.00
Se17 0.226 0.102 0.476  0.00
Se18 0.699 0.971 0.854  0.00
Se19 0.640 0.300 0.837  0.00
Se20 0.514 0.133 0.985  0.00
Se21 0.380 0.374 0.508  0.00
Se22 0.690 0.081 0.021  0.01
Se23 0.194 0.375 0.419  0.00
Se24 0.774 0.898 0.524  0.00
Se25 0.594 0.311 0.008  0.01
Se26 0.224 0.916 0.217  0.00
Se27 0.887 0.799 0.704  0.00
Se28 0.486 0.867 0.015  0.00
Se29 0.113 0.201 0.296  0.00
Se30 0.409 0.871 0.263  0.00
Se31 0.620 0.626 0.492  0.00
Se32 0.310 0.919 0.979  0.01
Se33 0.813 0.360 0.082  0.01
Se34 0.965 0.887 0.609  0.00

***

What are the final energy values for these records? In order: -9.285 -4.201 -5.128 -3.827 eV per atom.
What are the density of states at the Fermi level values for these records? In order: 10.50 10.62 5.68 29.36 states/eV per cell.